1.
Density functional theory data (PBE) for a relaxed structure of LaHoCdPd.

Formation energy = -0.496 eV per atom
DOS(E_F) = 0.88 states/eV per atom
Total DFT energy (no corrections) = -17.6 eV for the cell shown

Cell: 5.253 5.253 5.253 Å, 60.00 60.00 60.00°
Element x y z (fractional)
La (0.000, 0.000, 0.000)
Ho (0.500, 0.500, 0.500)
Cd (0.750, 0.750, 0.750)
Pd (0.250, 0.250, 0.250)

***

2.
Density functional theory data (PBE) for a relaxed structure of La2Pm2HoCd5.

Formation energy = -0.202 eV per atom
DOS(E_F) = 0.71 states/eV per atom
Total DFT energy (no corrections) = -61.1 eV for the cell shown

Cell: 10.790 10.790 4.861 Å, 90.00 90.00 90.00°
Element x y z (fractional)
La (0.175, 0.325, 0.000)
La (0.325, 0.825, 0.000)
La (0.675, 0.175, 0.000)
La (0.825, 0.675, 0.000)
Pm (0.126, 0.626, 0.000)
Pm (0.374, 0.126, 0.000)
Pm (0.626, 0.874, 0.000)
Pm (0.874, 0.374, 0.000)
Ho (0.000, 0.000, 0.000)
Ho (0.500, 0.500, 0.000)
Cd (0.000, 0.500, 0.500)
Cd (0.066, 0.810, 0.500)
Cd (0.190, 0.066, 0.500)
Cd (0.310, 0.566, 0.500)
Cd (0.434, 0.310, 0.500)
Cd (0.500, 0.000, 0.500)
Cd (0.566, 0.690, 0.500)
Cd (0.690, 0.434, 0.500)
Cd (0.810, 0.934, 0.500)
Cd (0.934, 0.190, 0.500)

***

3.
Density functional theory data (PBE) for a relaxed structure of La2PmHo2Cd5.

Formation energy = -0.214 eV per atom
DOS(E_F) = 0.67 states/eV per atom
Total DFT energy (no corrections) = -61.0 eV for the cell shown

Cell: 10.762 10.762 4.829 Å, 90.00 90.00 90.00°
Element x y z (fractional)
La (0.176, 0.324, 0.000)
La (0.324, 0.824, 0.000)
La (0.676, 0.176, 0.000)
La (0.824, 0.676, 0.000)
Pm (0.000, 0.000, 0.000)
Pm (0.500, 0.500, 0.000)
Ho (0.122, 0.622, 0.000)
Ho (0.378, 0.122, 0.000)
Ho (0.622, 0.878, 0.000)
Ho (0.878, 0.378, 0.000)
Cd (0.000, 0.500, 0.500)
Cd (0.069, 0.802, 0.500)
Cd (0.198, 0.069, 0.500)
Cd (0.302, 0.569, 0.500)
Cd (0.431, 0.302, 0.500)
Cd (0.500, 0.000, 0.500)
Cd (0.569, 0.698, 0.500)
Cd (0.698, 0.431, 0.500)
Cd (0.802, 0.931, 0.500)
Cd (0.931, 0.198, 0.500)

***

4.
Density functional theory data (PBE) for a relaxed structure of La5PrHoCd2.

Formation energy = 0.011 eV per atom
DOS(E_F) = 1.51 states/eV per atom
Total DFT energy (no corrections) = -71.4 eV for the cell shown

Cell: 9.827 9.827 9.827 Å, 125.93 125.93 80.00°
Element x y z (fractional)
La (0.000, 0.000, 0.000)
La (0.069, 0.569, 0.901)
La (0.167, 0.069, 0.500)
La (0.333, 0.833, 0.901)
La (0.431, 0.333, 0.500)
La (0.500, 0.500, 0.000)
La (0.569, 0.667, 0.500)
La (0.667, 0.167, 0.099)
La (0.833, 0.931, 0.500)
La (0.931, 0.431, 0.099)
Pr (0.250, 0.750, 0.500)
Pr (0.750, 0.250, 0.500)
Ho (0.250, 0.250, 0.000)
Ho (0.750, 0.750, 0.000)
Cd (0.108, 0.392, 0.500)
Cd (0.392, 0.892, 0.285)
Cd (0.608, 0.108, 0.715)
Cd (0.892, 0.608, 0.500)

***

5.
Density functional theory data (PBE) for a relaxed structure of LaHoCdPt.

Formation energy = -0.659 eV per atom
DOS(E_F) = 0.87 states/eV per atom
Total DFT energy (no corrections) = -19.1 eV for the cell shown

Cell: 5.221 5.221 5.221 Å, 60.00 60.00 60.00°
Element x y z (fractional)
La (0.000, 0.000, 0.000)
Ho (0.500, 0.500, 0.500)
Cd (0.750, 0.750, 0.750)
Pt (0.250, 0.250, 0.250)

***

6.
Density functional theory data (PBE) for a relaxed structure of LaHoCdRu.

Formation energy = -0.324 eV per atom
DOS(E_F) = 1.11 states/eV per atom
Total DFT energy (no corrections) = -21.0 eV for the cell shown
Energy relative to the lowest polymorph listed for this composition = 0.0000 eV per atom

Cell: 3.517 3.517 7.926 Å, 90.00 90.00 90.00°
Element x y z (fractional)
La (0.000, 0.000, 0.000)
Ho (0.000, 0.000, 0.570)
Cd (0.500, 0.500, 0.308)
Ru (0.500, 0.500, 0.769)

***

7.
Density functional theory data (PBE) for a relaxed structure of LaHoCdRu.

Formation energy = -0.211 eV per atom
DOS(E_F) = 0.87 states/eV per atom
Total DFT energy (no corrections) = -20.5 eV for the cell shown
Energy relative to the lowest polymorph listed for this composition = 0.1136 eV per atom

Cell: 5.153 5.153 5.153 Å, 60.00 60.00 60.00°
Element x y z (fractional)
La (0.000, 0.000, 0.000)
Ho (0.500, 0.500, 0.500)
Cd (0.750, 0.750, 0.750)
Ru (0.250, 0.250, 0.250)

***

8.
Density functional theory data (PBE) for a relaxed structure of LaHoScCd.

Formation energy = -0.051 eV per atom
DOS(E_F) = 1.30 states/eV per atom
Total DFT energy (no corrections) = -17.0 eV for the cell shown

Cell: 5.442 5.442 5.442 Å, 60.00 60.00 60.00°
Element x y z (fractional)
La (0.000, 0.000, 0.000)
Ho (0.500, 0.500, 0.500)
Sc (0.750, 0.750, 0.750)
Cd (0.250, 0.250, 0.250)